Entry 1:
A plane-wave DFT calculation with PBE was carried out for an optimized crystal structure of Rb2SrSi2O6.

Results
The calculation puts the total energy at -6.42 eV/atom.

a = 10.5725 Å, b = 6.1102 Å, c = 7.3836 Å
α = 90.00°, β = 118.05°, γ = 90.00°
With the nearest neighbours (Å) after each atom.
Space group C2/m (No. 12)
Asymmetric unit:
1 Rb 0.2039 0.0000 0.1124  9 O 3.08-3.21
2 Sr 0.0000 0.0000 0.5000  6 O 2.51
3 Si 0.0852 0.5000 0.2573  3 O 1.59
4 O 0.0089 0.2751 0.2539  1 Si 1.59
5 O 0.2360 0.5000 0.2594  1 Si 1.59

---

Entry 2:
A plane-wave DFT calculation with PBE was carried out for an optimized crystal structure of AlCdSi2As.

Results
The calculation puts the total energy at -3.31 eV/atom.

a = 4.7833 Å, b = 4.7833 Å, c = 4.9125 Å
α = 90.00°, β = 90.00°, γ = 90.00°
With the nearest neighbours (Å) after each atom.
Space group P4/mmm (No. 123)
Asymmetric unit:
1 Al 0.0000 0.0000 0.0000  4 Si 2.39, 2 As 2.46
2 Cd 0.5000 0.5000 0.5000  4 As 3.38, 8 Si 3.43
3 Si 0.0000 0.5000 0.0000  2 Al 2.39
4 As 0.0000 0.0000 0.5000  2 Al 2.46

---

Entry 3:
A plane-wave DFT calculation with PBE was carried out for an optimized crystal structure of Er2Tm5.

Results
The calculation puts the polymorph energy (0 for the lowest one) at 0 meV per atom. The formation enthalpy at 0 K is -3 kJ/mol of formula units.

a = 15.3652 Å, b = 6.1639 Å, c = 9.0221 Å
α = 90.00°, β = 96.25°, γ = 90.00°
With the nearest neighbours (Å) after each atom.
Space group C2/c (No. 15)
Asymmetric unit:
1 Er 0.0716 0.1670 0.1072  10 Tm 3.44-3.56, 2 Er 3.45-3.57
2 Tm 0.0000 0.3333 0.7500  6 Tm 3.44-3.57, 6 Er 3.45-3.56
3 Tm 0.1431 0.3336 0.4643  8 Tm 3.44-3.57, 4 Er 3.45-3.56
4 Tm 0.2143 0.1666 0.8215  9 Tm 3.44-3.56, 3 Er 3.44-3.56

---

Entry 4:
A plane-wave DFT calculation with PBE was carried out for an optimized crystal structure of PmDyPuCd.

Results
The formation enthalpy at 0 K is 27 kJ/mol of formula units.

a = 7.7063 Å, b = 7.7063 Å, c = 7.7063 Å
α = 90.00°, β = 90.00°, γ = 90.00°
With the nearest neighbours (Å) after each atom.
Space group F-43m (No. 216)
Asymmetric unit:
1 Pm 0.0000 0.0000 0.0000  4 Cd 3.34, 4 Pu 3.34
2 Dy 0.0000 0.0000 0.5000  4 Pu 3.34, 4 Cd 3.34
3 Pu 0.2500 0.2500 0.2500  4 Pm 3.34, 4 Dy 3.34
4 Cd 0.2500 0.2500 0.7500  4 Dy 3.34, 4 Pm 3.34

---

no.,theoretical density (g cm⁻³)
1,3.240
2,3.996
3,9.221
4,9.636